1.
The following is a PBE-GGA calculation of a relaxed structure of LaThGa2, from Alexandria.

Values from the calculation:
Energy of formation ... -208 kJ/mol of formula units
VASP energy ... -20.55 eV per formula unit
Offset from the most stable computed form ... 0 kJ/mol of formula units

Lattice parameters (Å, degrees): 4.1673 6.1500 6.1500 42.64 90.00 90.00
With the nearest neighbours (Å) after each atom.
Fractional positions:
La 0.0000 0.0000 0.0000  7 Ga 3.18-3.34
Th 0.5000 0.7146 0.7146  7 Ga 3.16-3.32
Ga 0.0000 0.2835 0.2835  2 Ga 2.64
Ga 0.5000 0.4247 0.4247  2 Ga 2.64

=====

2.
The following is a PBE-GGA calculation of a relaxed structure of Cs3RbH3, from Alexandria.

Values from the calculation:
VASP energy ... -13.57 eV per formula unit

Lattice parameters (Å, degrees): 8.6364 8.6364 8.6364 90.00 90.00 90.00
With the nearest neighbours (Å) after each atom.
Fractional positions:
Cs 0.0000 0.2500 0.5000  4 H 3.05
Cs 0.0000 0.7500 0.5000  4 H 3.05
Cs 0.2500 0.5000 0.0000  4 H 3.05
Cs 0.5000 0.0000 0.2500  4 H 3.05
Cs 0.5000 0.0000 0.7500  4 H 3.05
Cs 0.7500 0.5000 0.0000  4 H 3.05
Rb 0.0000 0.0000 0.0000  12 H 4.83, 12 Cs 4.83
Rb 0.5000 0.5000 0.5000  12 H 4.83, 12 Cs 4.83
H 0.0000 0.5000 0.2500  4 Cs 3.05
H 0.0000 0.5000 0.7500  4 Cs 3.05
H 0.2500 0.0000 0.5000  4 Cs 3.05
H 0.5000 0.2500 0.0000  4 Cs 3.05
H 0.5000 0.7500 0.0000  4 Cs 3.05
H 0.7500 0.0000 0.5000  4 Cs 3.05

=====

3.
The following is a PBE-GGA calculation of a relaxed structure of KSBrCl2, from Alexandria.

Values from the calculation:
VASP energy ... -10.95 eV per formula unit
Offset from the most stable computed form ... 112 kJ/mol of formula units

Lattice parameters (Å, degrees): 5.1339 5.1339 6.8128 90.00 90.00 90.00
With the nearest neighbours (Å) after each atom.
Fractional positions:
K 0.0000 0.0000 0.0000  2 Br 3.41, 4 S 3.63
S 0.5000 0.5000 0.0000  4 K 3.63
Br 0.0000 0.0000 0.5000  4 Cl 2.57
Cl 0.0000 0.5000 0.5000  2 Br 2.57
Cl 0.5000 0.0000 0.5000  2 Br 2.57

=====

4.
The following is a PBE-GGA calculation of a relaxed structure of Mg2SiPd, from Alexandria.

Values from the calculation:
VASP energy ... -15.15 eV per formula unit

Lattice parameters (Å, degrees): 5.1345 5.1345 8.4117 114.31 114.31 54.56
With the nearest neighbours (Å) after each atom.
Fractional positions:
Mg 0.1800 0.1951 0.0946  3 Si 2.78-2.89, 3 Pd 2.80-2.84, 1 Mg 3.04
Mg 0.1951 0.1800 0.5946  3 Si 2.78-2.89, 3 Pd 2.80-2.84, 1 Mg 3.04
Mg 0.8049 0.8200 0.4054  3 Si 2.78-2.89, 3 Pd 2.80-2.84, 1 Mg 3.04
Mg 0.8200 0.8049 0.9054  3 Si 2.78-2.89, 3 Pd 2.80-2.84, 1 Mg 3.04
Si 0.2634 0.7366 0.7500  2 Pd 2.35-2.36
Si 0.7366 0.2634 0.2500  2 Pd 2.35-2.36
Pd 0.2371 0.7629 0.2500  2 Si 2.35-2.36
Pd 0.7629 0.2371 0.7500  2 Si 2.35-2.36

=====

M_tot, respectively: 0.001 0.135 0.298 0.000 μB per atom.